Record 1
Computed, not measured: a geometry-optimized Sr3Zn8Pt3 structure at the GGA-PBE level of DFT.

The crystal system is orthorhombic. The calculation puts the raw total energy at -2.837 eV/atom. The formation energy is -0.45 eV/atom.

The space group is Immm (No. 71) and the conventional cell measures 4.3766, 9.9562 and 13.0726 Å, with angles of 90.00, 90.00 and 90.00 degrees. The asymmetric unit holds Sr at (0.0000, 0.0000, 0.0000), Sr at (0.0000, 0.0000, 0.3291), Zn at (0.0000, 0.2803, 0.1157), Zn at (0.0000, 0.3517, 0.3203), Pt at (0.0000, 0.2358, 0.5000) and Pt at (0.0000, 0.5000, 0.0000).

---

Record 2
Computed, not measured: a geometry-optimized Sr2ZnPt2 structure at the GGA-PBE level of DFT.

The crystal system is tetragonal. The calculation puts the raw total energy at -3.963 eV/atom. The formation energy is -0.62 eV/atom.

The space group is P4/mbm (No. 127) and the conventional cell measures 7.5134, 7.5134 and 4.3537 Å, with angles of 90.00, 90.00 and 90.00 degrees. The asymmetric unit holds Sr at (0.1707, 0.3293, 0.0000), Zn at (0.0000, 0.0000, 0.5000) and Pt at (0.1329, 0.6329, 0.5000).

---

Record 3
Computed, not measured: a geometry-optimized Sr3Zn4Pt4 structure at the GGA-PBE level of DFT.

The crystal system is cubic. The value obtained for the energy above the most stable polymorph in this dataset is 49 meV per atom. The calculation puts the raw total energy at -3.769 eV/atom. The formation energy is -0.65 eV/atom.

The space group is I-43m (No. 217) and the conventional cell measures 7.8877, 7.8877 and 7.8877 Å, with angles of 90.00, 90.00 and 90.00 degrees. The asymmetric unit holds Sr at (0.0000, 0.0000, 0.5000), Zn at (0.1244, 0.1244, 0.8756) and Pt at (0.1930, 0.1930, 0.1930).

---

no.,DOS at the Fermi energy (states/eV/atom)
1,0.38
2,0.44
3,0.74